First-principles (GGA-PBE) data for a relaxed BaPtBr crystal, as listed in Alexandria.

```
BaPtBr
1.0
-2.210 2.210 4.974
2.210 -2.210 4.974
2.210 2.210 -4.974
Ba Pt Br
1 1 1
Cartesian
0.000 0.000 0.000
0.000 0.000 3.931
0.000 0.000 6.526
```

Properties
Formation energy (no corrections), eV per atom: -0.675